## RbMnAgF6 (GGA+U)

Data for RbMnAgF6 after structural relaxation.

Unit cell a=5.978 b=5.977 c=5.490 alpha=89.99 beta=90.00 gamma=59.98
Last column: magnetic moment on the atom in μB.
Element x y z (fractional)
F (0.074, 0.341, 0.308)  -0.02
F (0.343, 0.584, 0.307)  -0.02
F (0.072, 0.586, 0.691)  -0.02
F (0.586, 0.072, 0.309)  -0.02
F (0.341, 0.074, 0.693)  -0.02
Mn (0.333, 0.333, 0.500)  3.08
F (0.584, 0.343, 0.692)  -0.02
Rb (0.000, 0.000, 0.000)  0.00
Ag (0.666, 0.666, 0.500)  -0.14

Calculated values
* total energy: -4.66 eV/atom